NaVCd2O4 PBE with a Hubbard U optimized geometry; DFT total energy = -5.191 eV per atom
1.0
3.739 -3.354 0.000
3.739 3.354 0.000
-2.655 0.000 5.305
Na V Cd O
1 1 2 4
direct
0.000 0.000 0.000
0.536 0.536 0.032
0.214 0.797 0.513
0.797 0.214 0.513
0.285 0.285 0.928
0.422 0.846 0.224
0.589 0.589 0.761
0.846 0.422 0.224